DFT (PBE+U) results for an optimized crystal structure of AcVC2O8. Values from VASP.

The structure in Quantum ESPRESSO input format:
```
&SYSTEM
  ibrav = 0, nat = 12, ntyp = 4
/
ATOMIC_SPECIES
Ac 227.00 Ac.upf
V 50.94 V.upf
C 12.01 C.upf
O 16.00 O.upf
ATOMIC_POSITIONS crystal
Ac 0.500 0.500 0.500
V 0.000 0.000 0.000
C 0.269 0.300 0.162
C 0.731 0.700 0.838
O 0.925 0.438 0.712
O 0.706 0.533 0.056
O 0.075 0.562 0.288
O 0.294 0.467 0.944
O 0.570 0.067 0.224
O 0.430 0.933 0.776
O 0.138 0.067 0.224
O 0.862 0.933 0.776
CELL_PARAMETERS angstrom
5.153 0.000 0.000
2.576 3.921 -0.130
2.576 1.219 5.782
```

Results
Crystal system: monoclinic
Space-group type: C2/m (12)
M_tot: 0.00 μB/atom
Electronic total energy: -89.34 eV/cell